Entry from Alexandria: GePb4S6 after structural relaxation (GGA-PBE).

Lattice parameters (Å, degrees): 7.4809 8.6376 12.2514 78.37 72.22 64.34
Last column: nearest neighbours and their distance in Å.
Element x y z (fractional)
1 S 0.0020 0.5548 0.9371  1 Ge 2.27
2 S 0.6093 0.6453 0.7663  4 Pb 2.73-3.02
3 S 0.3888 0.1596 0.9906  1 Ge 2.24
4 S 0.4359 0.5208 0.1405  4 Pb 2.76-2.90
5 S 0.9542 0.1257 0.9333  1 Ge 2.23
6 Pb 0.0915 0.4478 0.1569  5 S 2.85-3.13
7 S 0.4610 0.6596 0.4906  1 Ge 2.24
8 Pb 0.9829 0.6569 0.6628  3 S 2.73-2.90
9 Pb 0.2731 0.7800 0.2984  4 S 2.86-2.99
10 S 0.9791 0.1453 0.2663  4 Pb 2.73-3.02
11 S 0.9868 0.6257 0.4333  1 Ge 2.23
12 Pb 0.6485 0.2800 0.7984  4 S 2.86-2.99
13 S 0.9028 0.0208 0.6405  4 Pb 2.76-2.90
14 Pb 0.6974 0.1569 0.1628  3 S 2.73-2.90
15 Pb 0.3038 0.9478 0.6569  5 S 2.85-3.13
16 Ge 0.1474 0.2776 0.8915  4 S 2.23-2.27
17 S 0.2866 0.2807 0.7027  1 Ge 2.23
18 Ge 0.6835 0.7776 0.3915  4 S 2.23-2.27
19 Pb 0.5766 0.7370 0.9740  3 S 2.73-2.81
20 Pb 0.7124 0.2370 0.4740  3 S 2.73-2.81
21 S 0.7300 0.7807 0.2027  1 Ge 2.23
22 S 0.5061 0.0548 0.4371  1 Ge 2.27

- E_form (uncorrected) (eV/atom) = -0.44
- V (Å³/atom) = 30.79
- E_tot (eV/cell) = -98.12